No. 1
## Tb2Ho3Tl6 (PBE)

Data for a geometry-optimized Tb2Ho3Tl6 structure.

Unit cell a=15.3194 b=15.3194 c=15.3194 alpha=162.33 beta=162.33 gamma=25.09
Last column: nearest neighbours and their distance in Å.
Fractional coordinates of all 11 atoms:
Tb1 0.0532 0.0532 0.0000  4 Tl 3.10, 1 Tb 3.18
Tb2 0.9468 0.9468 0.0000  4 Tl 3.10, 1 Tb 3.18
Ho1 0.2988 0.2988 0.0000  9 Tl 3.05-3.37
Ho2 0.5000 0.5000 0.0000  8 Tb 3.69
Ho3 0.7012 0.7012 0.0000  9 Tl 3.05-3.37
Tl1 0.1206 0.6206 0.5000  2 Tb 3.10, 6 Tl 3.28-3.33, 2 Ho 3.37
Tl2 0.1968 0.1968 0.0000  5 Ho 3.05-3.33, 4 Tl 3.28
Tl3 0.3794 0.8794 0.5000  2 Tb 3.10, 6 Tl 3.28-3.33, 2 Ho 3.37
Tl4 0.6206 0.1206 0.5000  2 Tb 3.10, 6 Tl 3.28-3.33, 2 Ho 3.37
Tl5 0.8032 0.8032 0.0000  5 Ho 3.05-3.33, 4 Tl 3.28
Tl6 0.8794 0.3794 0.5000  2 Tb 3.10, 6 Tl 3.28-3.33, 2 Ho 3.37

## Properties
Its volume is 30.093 A^3/atom. As for the space group: I4/mmm. The energy comes out at -3.394 eV/atom.



No. 2
## Tb6Ho8Tl (PBE)

Data for a geometry-optimized Tb6Ho8Tl structure.

Unit cell a=9.1712 b=9.1712 c=6.7013 alpha=90.00 beta=90.00 gamma=120.00
Last column: nearest neighbours and their distance in Å.
Fractional coordinates of all 15 atoms:
Tb1 0.0798 0.6823 0.3969  3 Ho 3.16-3.50, 1 Tb 3.21, 1 Tl 3.41
Tb2 0.3177 0.3975 0.3969  3 Ho 3.16-3.50, 1 Tb 3.21, 1 Tl 3.41
Tb3 0.3975 0.0798 0.6031  3 Ho 3.16-3.50, 1 Tb 3.21, 1 Tl 3.41
Tb4 0.6025 0.9202 0.3969  3 Ho 3.16-3.50, 1 Tb 3.21, 1 Tl 3.41
Tb5 0.6823 0.6025 0.6031  3 Ho 3.16-3.50, 1 Tb 3.21, 1 Tl 3.41
Tb6 0.9202 0.3177 0.6031  3 Ho 3.16-3.50, 1 Tb 3.21, 1 Tl 3.41
Ho1 0.0170 0.3304 0.1097  3 Tb 3.16-3.50, 3 Ho 3.26-3.30
Ho2 0.3135 0.9830 0.1097  3 Tb 3.16-3.50, 3 Ho 3.26-3.30
Ho3 0.3304 0.3135 0.8903  3 Tb 3.16-3.50, 3 Ho 3.26-3.30
Ho4 0.3333 0.6667 0.8174  6 Ho 3.26-3.58
Ho5 0.6667 0.3333 0.1826  6 Ho 3.26-3.58
Ho6 0.6696 0.6865 0.1097  3 Tb 3.16-3.50, 3 Ho 3.26-3.30
Ho7 0.6865 0.0170 0.8903  3 Tb 3.16-3.50, 3 Ho 3.26-3.30
Ho8 0.9830 0.6696 0.8903  3 Tb 3.16-3.50, 3 Ho 3.26-3.30
Tl1 0.0000 0.0000 0.5000  6 Tb 3.41

## Properties
Its volume is 32.543 A^3/atom. As for the space group: P-3. The energy comes out at -4.245 eV/atom.



No. 3
## Tb6HoTl4 (PBE)

Data for a geometry-optimized Tb6HoTl4 structure.

Unit cell a=9.5226 b=9.5226 c=9.5226 alpha=140.72 beta=140.72 gamma=56.77
Last column: nearest neighbours and their distance in Å.
Fractional coordinates of all 11 atoms:
Tb1 0.0000 0.5000 0.5000  4 Tl 3.20, 2 Ho 3.20
Tb2 0.0562 0.5841 0.0000  5 Tl 3.11-3.34
Tb3 0.4159 0.4159 0.4722  5 Tl 3.11-3.34
Tb4 0.5000 0.0000 0.5000  4 Tl 3.20, 2 Ho 3.20
Tb5 0.5841 0.0562 0.0000  5 Tl 3.11-3.34
Tb6 0.9438 0.9438 0.5278  5 Tl 3.11-3.34
Ho1 0.5000 0.5000 0.0000  4 Tl 3.15, 4 Tb 3.20
Tl1 0.1223 0.1223 0.5138  7 Tb 3.11-3.34, 1 Ho 3.15
Tl2 0.3915 0.8777 0.0000  7 Tb 3.11-3.34, 1 Ho 3.15
Tl3 0.6085 0.6085 0.4862  7 Tb 3.11-3.34, 1 Ho 3.15
Tl4 0.8777 0.3915 0.0000  7 Tb 3.11-3.34, 1 Ho 3.15

## Properties
Its volume is 31.215 A^3/atom. As for the space group: I-42m. The energy comes out at -3.939 eV/atom.



No. 4
## Tb3Ho7Tl (PBE)

Data for a geometry-optimized Tb3Ho7Tl structure.

Unit cell a=6.9397 b=6.9397 c=8.4882 alpha=90.00 beta=90.00 gamma=120.00
Last column: nearest neighbours and their distance in Å.
Fractional coordinates of all 11 atoms:
Tb1 0.0025 0.5012 0.0000  5 Ho 3.42-3.50, 4 Tb 3.44-3.50, 1 Tl 3.50
Tb2 0.4988 0.5012 0.0000  5 Ho 3.42-3.50, 4 Tb 3.44-3.50, 1 Tl 3.50
Tb3 0.4988 0.9975 0.0000  5 Ho 3.42-3.50, 4 Tb 3.44-3.50, 1 Tl 3.50
Ho1 0.1698 0.3395 0.6617  7 Ho 3.41-3.53, 2 Tl 3.47, 2 Tb 3.49
Ho2 0.1698 0.8302 0.6617  7 Ho 3.41-3.53, 2 Tl 3.47, 2 Tb 3.49
Ho3 0.3333 0.6667 0.3275  3 Tb 3.42, 9 Ho 3.45-3.47
Ho4 0.3355 0.1677 0.3385  1 Tl 3.40, 8 Ho 3.41-3.49, 2 Tb 3.50
Ho5 0.6605 0.8302 0.6617  7 Ho 3.41-3.53, 2 Tl 3.47, 2 Tb 3.49
Ho6 0.8323 0.1677 0.3385  1 Tl 3.40, 8 Ho 3.41-3.49, 2 Tb 3.50
Ho7 0.8323 0.6645 0.3385  1 Tl 3.40, 8 Ho 3.41-3.49, 2 Tb 3.50
Tl1 0.6667 0.3333 0.6628  9 Ho 3.40-3.47, 3 Tb 3.50

## Properties
Its volume is 32.184 A^3/atom. As for the space group: P3m1. The energy comes out at -4.244 eV/atom.



No. 5
## Tb5Ho2Tl4 (PBE)

Data for a geometry-optimized Tb5Ho2Tl4 structure.

Unit cell a=8.8731 b=8.8731 c=8.8731 alpha=145.64 beta=106.67 gamma=83.55
Last column: nearest neighbours and their distance in Å.
Fractional coordinates of all 11 atoms:
Tb1 0.0000 0.0000 0.0000  4 Tl 3.43, 4 Ho 3.45
Tb2 0.1243 0.2807 0.8436  3 Tl 3.23-3.43, 3 Tb 3.32-3.39, 2 Ho 3.44
Tb3 0.4372 0.2807 0.1564  3 Tl 3.23-3.43, 3 Tb 3.32-3.39, 2 Ho 3.44
Tb4 0.5628 0.7193 0.8436  3 Tl 3.23-3.43, 3 Tb 3.32-3.39, 2 Ho 3.44
Tb5 0.8757 0.7193 0.1564  3 Tl 3.23-3.43, 3 Tb 3.32-3.39, 2 Ho 3.44
Ho1 0.1690 0.6690 0.5000  3 Tl 2.94-3.15
Ho2 0.8310 0.3310 0.5000  3 Tl 2.94-3.15
Tl1 0.2089 0.5000 0.7089  2 Ho 3.15, 4 Tb 3.23-3.43
Tl2 0.3913 0.8913 0.5000  1 Tl 2.88, 1 Ho 2.94
Tl3 0.6087 0.1087 0.5000  1 Tl 2.88, 1 Ho 2.94
Tl4 0.7911 0.5000 0.2911  2 Ho 3.15, 4 Tb 3.23-3.43

## Properties
Its volume is 33.417 A^3/atom. As for the space group: Immm. The energy comes out at -3.675 eV/atom.



No. 6
## Tb5HoTl2 (PBE)

Data for a geometry-optimized Tb5HoTl2 structure.

Unit cell a=8.4467 b=8.4467 c=8.4467 alpha=155.38 beta=102.47 gamma=82.81
Last column: nearest neighbours and their distance in Å.
Fractional coordinates of all 8 atoms:
Tb1 0.0000 0.0000 0.0000  2 Tl 3.33, 10 Tb 3.45-3.60
Tb2 0.0945 0.3663 0.7282  3 Tl 3.16-3.43, 5 Tb 3.39-3.48
Tb3 0.3619 0.6337 0.7282  3 Tl 3.16-3.43, 5 Tb 3.39-3.48
Tb4 0.6381 0.3663 0.2718  3 Tl 3.16-3.43, 5 Tb 3.39-3.48
Tb5 0.9055 0.6337 0.2718  3 Tl 3.16-3.43, 5 Tb 3.39-3.48
Ho1 0.5000 0.0000 0.5000  4 Tl 3.50, 2 Ho 3.60, 8 Tb 3.79
Tl1 0.2632 0.2632 0.0000  7 Tb 3.16-3.43, 2 Ho 3.50
Tl2 0.7368 0.7368 0.0000  7 Tb 3.16-3.43, 2 Ho 3.50

## Properties
Its volume is 30.164 A^3/atom. As for the space group: Immm. The energy comes out at -4.163 eV/atom.



No. 7
## TbHoTl2 (PBE)

Data for a geometry-optimized TbHoTl2 structure.

Unit cell a=3.7915 b=3.7915 c=7.5792 alpha=90.00 beta=90.00 gamma=90.00
Last column: nearest neighbours and their distance in Å.
Fractional coordinates of all 4 atoms:
Tb1 0.0000 0.0000 0.0000  8 Tl 3.29
Ho1 0.0000 0.0000 0.5000  8 Tl 3.27
Tl1 0.5000 0.5000 0.2527  4 Ho 3.27, 4 Tb 3.29
Tl2 0.5000 0.5000 0.7473  4 Ho 3.27, 4 Tb 3.29

## Properties
Its volume is 27.238 A^3/atom. As for the space group: P4/mmm. The energy comes out at -3.829 eV/atom.



No. 8
## Tb5Ho8Tl (PBE)

Data for a geometry-optimized Tb5Ho8Tl structure.

Unit cell a=8.3848 b=8.3848 c=8.3848 alpha=110.66 beta=110.66 gamma=107.11
Last column: nearest neighbours and their distance in Å.
Fractional coordinates of all 14 atoms:
Tb1 0.0000 0.0000 0.0000  8 Ho 3.11-3.29
Tb2 0.2117 0.3201 0.6886  8 Ho 3.33-3.60, 2 Tb 3.51
Tb3 0.4769 0.7883 0.1085  8 Ho 3.33-3.60, 2 Tb 3.51
Tb4 0.6316 0.5231 0.3114  8 Ho 3.33-3.60, 2 Tb 3.51
Tb5 0.6799 0.3684 0.8915  8 Ho 3.33-3.60, 2 Tb 3.51
Ho1 0.1606 0.4295 0.1001  4 Tb 3.11-3.46, 1 Tl 3.12
Ho2 0.3294 0.0605 0.8999  4 Tb 3.11-3.46, 1 Tl 3.12
Ho3 0.4182 0.1650 0.3920  5 Tb 3.29-3.60, 4 Ho 3.64-3.66
Ho4 0.5705 0.6706 0.7311  4 Tb 3.11-3.46, 1 Tl 3.12
Ho5 0.7730 0.0262 0.6080  5 Tb 3.29-3.60, 4 Ho 3.64-3.66
Ho6 0.8350 0.2270 0.2531  5 Tb 3.29-3.60, 4 Ho 3.64-3.66
Ho7 0.9395 0.8394 0.2689  4 Tb 3.11-3.46, 1 Tl 3.12
Ho8 0.9738 0.5818 0.7469  5 Tb 3.29-3.60, 4 Ho 3.64-3.66
Tl1 0.2500 0.7500 0.5000  4 Ho 3.12

## Properties
Its volume is 32.373 A^3/atom. As for the space group: I-4. The energy comes out at -4.245 eV/atom.